Record 1
Computed, not measured: crystalline Cs3BaHg7 at its relaxed geometry at the GGA-PBE level of DFT.

Results
- E_form (eV per atom) = -0.2874
- SG = No. 63
- size of the total moment (Bohr magnetons per cell) = 0.0
- calculated volume (Å³/f.u.) = 475
- total DFT energy (no corrections) (eV per atom) = -0.89

Cell and atoms, written as POSCAR:
```
Cs3BaHg7
1.0
4.732 0.000 0.000
-2.366 12.485 0.000
0.000 0.000 16.098
Hg Cs Ba
14 6 2
Direct
0.272 0.543 0.049 Hg
0.371 0.741 0.346 Hg
0.490 0.979 0.409 Hg
0.490 0.979 0.091 Hg
0.629 0.259 0.654 Hg
0.629 0.259 0.846 Hg
0.510 0.021 0.909 Hg
0.728 0.457 0.951 Hg
0.272 0.543 0.451 Hg
0.426 0.853 0.750 Hg
0.574 0.147 0.250 Hg
0.510 0.021 0.591 Hg
0.728 0.457 0.549 Hg
0.371 0.741 0.154 Hg
0.887 0.773 0.952 Cs
0.752 0.505 0.250 Cs
0.113 0.227 0.048 Cs
0.887 0.773 0.548 Cs
0.113 0.227 0.452 Cs
0.248 0.495 0.750 Cs
0.038 0.076 0.750 Ba
0.962 0.924 0.250 Ba
```

***

Record 2
Computed, not measured: crystalline Cs12Ba3Hg5 at its relaxed geometry at the GGA-PBE level of DFT.

Results
- E_form (eV per atom) = 0.1144
- SG = No. 230
- size of the total moment (Bohr magnetons per cell) = 1.3
- calculated volume (Å³/f.u.) = 1849
- total DFT energy (no corrections) (eV per atom) = -0.76

Cell and atoms, written as POSCAR:
```
Cs12Ba3Hg5
1.0
21.260 0.000 0.000
-7.087 20.045 0.000
-7.087 -10.022 17.359
Cs Hg Ba
48 20 12
Direct
0.195 0.678 0.096 Cs
0.195 0.517 0.600 Cs
0.822 0.918 0.017 Cs
0.918 0.822 0.517 Cs
0.900 0.305 0.483 Cs
0.017 0.418 0.822 Cs
0.582 0.983 0.678 Cs
0.678 0.195 0.596 Cs
0.400 0.418 0.096 Cs
0.322 0.805 0.404 Cs
0.418 0.017 0.322 Cs
0.178 0.082 0.983 Cs
0.483 0.678 0.082 Cs
0.918 0.096 0.900 Cs
0.322 0.517 0.418 Cs
0.305 0.404 0.822 Cs
0.483 0.805 0.900 Cs
0.600 0.017 0.195 Cs
0.805 0.322 0.904 Cs
0.983 0.400 0.305 Cs
0.904 0.082 0.600 Cs
0.805 0.483 0.400 Cs
0.983 0.582 0.178 Cs
0.822 0.904 0.305 Cs
0.178 0.096 0.695 Cs
0.096 0.918 0.400 Cs
0.017 0.600 0.695 Cs
0.082 0.178 0.483 Cs
0.400 0.983 0.805 Cs
0.678 0.483 0.582 Cs
0.596 0.900 0.418 Cs
0.900 0.596 0.918 Cs
0.517 0.195 0.100 Cs
0.404 0.305 0.322 Cs
0.100 0.695 0.517 Cs
0.404 0.100 0.582 Cs
0.100 0.404 0.082 Cs
0.418 0.400 0.596 Cs
0.904 0.822 0.805 Cs
0.600 0.582 0.904 Cs
0.695 0.100 0.017 Cs
0.096 0.178 0.195 Cs
0.582 0.600 0.404 Cs
0.695 0.596 0.178 Cs
0.082 0.904 0.100 Cs
0.596 0.695 0.678 Cs
0.305 0.900 0.983 Cs
0.517 0.322 0.918 Cs
0.750 0.125 0.875 Hg
0.500 0.500 0.500 Hg
0.000 0.500 0.500 Hg
0.250 0.375 0.625 Hg
0.000 0.000 0.000 Hg
0.500 0.000 0.000 Hg
0.875 0.625 0.750 Hg
0.750 0.625 0.375 Hg
0.125 0.375 0.250 Hg
0.625 0.750 0.875 Hg
0.125 0.750 0.375 Hg
0.500 0.000 0.500 Hg
0.250 0.875 0.125 Hg
0.000 0.500 0.000 Hg
0.375 0.125 0.750 Hg
0.500 0.500 0.000 Hg
0.000 0.000 0.500 Hg
0.625 0.875 0.250 Hg
0.875 0.250 0.625 Hg
0.375 0.250 0.125 Hg
0.375 0.750 0.625 Ba
0.250 0.625 0.875 Ba
0.625 0.375 0.750 Ba
0.875 0.750 0.125 Ba
0.125 0.250 0.875 Ba
0.625 0.250 0.375 Ba
0.375 0.625 0.250 Ba
0.875 0.125 0.250 Ba
0.125 0.875 0.750 Ba
0.750 0.375 0.125 Ba
0.250 0.125 0.375 Ba
0.750 0.875 0.625 Ba
```

***

Record 3
Computed, not measured: crystalline CsBaHgI2 at its relaxed geometry at the GGA-PBE level of DFT.

Results
- ΔE_f (raw) (eV per atom) = -1.031
- SG = No. 123
- size of the total moment (Bohr magnetons per cell) = 0.4
- calculated volume (Å³/f.u.) = 315
- total DFT energy (no corrections) (eV per atom) = -2.27

Cell and atoms, written as POSCAR:
```
CsBaHgI2
1.0
-5.056 -1.750 4.186
0.529 -6.453 -2.057
4.531 -1.212 4.966
Ba Hg I Cs
1 1 2 1
Direct
0.000 0.000 0.000 Ba
0.000 0.000 0.500 Hg
0.000 0.500 0.000 I
0.500 0.000 0.000 I
0.500 0.500 0.500 Cs
```